(1)
Compound: Pm5SmN4
Source: the Alexandria database
Functional: GGA-PBE
Structure: relaxed Values from VASP.

```
&SYSTEM
  ibrav = 0, nat = 10, ntyp = 3
/
ATOMIC_SPECIES
Pm 145.00 Pm.upf
Sm 150.36 Sm.upf
N 14.01 N.upf
CELL_PARAMETERS angstrom
7.875 -1.795 0.000
7.875 1.795 0.000
-1.672 0.000 7.230
ATOMIC_POSITIONS crystal
Pm 0.000 0.000 0.000
Pm 0.335 0.335 0.650
Pm 0.341 0.341 0.195
Pm 0.659 0.659 0.805
Pm 0.665 0.665 0.350
Sm 0.000 0.000 0.500
N 0.166 0.166 0.583
N 0.498 0.498 0.250
N 0.502 0.502 0.750
N 0.834 0.834 0.417
```

## Properties
The magnetic moment is 0.0 Bohr magnetons per cell. For the final energy, the calculation gives -7.3138 eV per atom. The value obtained for the density of states at the Fermi level is 0.439 states/eV/atom.


(2)
Compound: Pm5Sm3N8
Source: the Alexandria database
Functional: GGA-PBE
Structure: relaxed Values from VASP.

```
&SYSTEM
  ibrav = 0, nat = 16, ntyp = 3
/
ATOMIC_SPECIES
Pm 145.00 Pm.upf
Sm 150.36 Sm.upf
N 14.01 N.upf
CELL_PARAMETERS angstrom
3.605 2.081 5.887
-3.605 2.081 5.887
0.000 -4.163 5.887
ATOMIC_POSITIONS crystal
Pm 0.000 0.000 0.000
Pm 0.000 0.500 0.500
Pm 0.500 0.000 0.500
Pm 0.500 0.500 0.000
Pm 0.500 0.500 0.500
Sm 0.000 0.000 0.500
Sm 0.000 0.500 0.000
Sm 0.500 0.000 0.000
N 0.249 0.750 0.750
N 0.250 0.250 0.250
N 0.250 0.250 0.751
N 0.250 0.751 0.250
N 0.750 0.249 0.750
N 0.750 0.750 0.249
N 0.750 0.750 0.750
N 0.751 0.250 0.250
```

## Properties
The magnetic moment is 0.0 Bohr magnetons per cell. For the final energy, the calculation gives -7.9843 eV per atom. The value obtained for the density of states at the Fermi level is 0.163 states/eV/atom.


(3)
Compound: Pm3SmN4
Source: the Alexandria database
Functional: GGA-PBE
Structure: relaxed Values from VASP.

```
&SYSTEM
  ibrav = 0, nat = 8, ntyp = 3
/
ATOMIC_SPECIES
Pm 145.00 Pm.upf
Sm 150.36 Sm.upf
N 14.01 N.upf
CELL_PARAMETERS angstrom
5.102 0.000 0.000
0.000 5.102 0.000
0.000 0.000 5.102
ATOMIC_POSITIONS crystal
Pm 0.000 0.000 0.500
Pm 0.000 0.500 0.000
Pm 0.500 0.000 0.000
Sm 0.500 0.500 0.500
N 0.000 0.000 0.000
N 0.000 0.500 0.500
N 0.500 0.000 0.500
N 0.500 0.500 0.000
```

## Properties
The magnetic moment is 0.0 Bohr magnetons per cell. For the final energy, the calculation gives -7.9808 eV per atom. The value obtained for the density of states at the Fermi level is 0.251 states/eV/atom.